Material: Ba2CeV3O12
Method: DFT, GGA+U
State: optimized geometry

```
Ba2CeV3O12
1.0
3.609 2.084 5.521
-3.609 2.084 5.521
0.000 -4.168 5.521
Ba Ce V O
2 1 3 12
Cartesian
0.000 0.000 1.918
0.000 0.000 14.644
0.000 0.000 8.281
-1.805 -1.042 5.521
-1.805 1.042 11.042
0.000 2.084 5.521
-1.865 -1.077 7.401
0.000 -1.554 5.632
-1.345 0.777 5.632
0.000 -2.154 9.162
-1.865 1.077 9.162
-1.345 -0.777 10.931
1.345 0.777 5.632
1.865 -1.077 7.401
0.000 2.154 7.401
1.345 -0.777 10.931
0.000 1.554 10.931
1.865 1.077 9.162
```

Results
M_tot: 0.94 μB per cell
Space-group type: R-3m (166)
E_tot: -7.31 eV/atom